P | Compound: CePdS2
Source: Alexandria via LeMat-Bulk
Functional: PBE
Structure: optimized geometry

Geometry as POSCAR:
```
CePdS2
1.0
6.703 0.000 0.000
0.000 6.977 0.000
-1.097 0.000 6.840
Ce Pd S
4 4 8
Direct
0.208 0.054 0.299
0.208 0.446 0.799
0.792 0.554 0.201
0.792 0.946 0.701
0.285 0.583 0.293
0.285 0.917 0.793
0.715 0.083 0.207
0.715 0.417 0.707
0.079 0.735 0.508
0.079 0.765 0.008
0.436 0.175 0.650
0.436 0.325 0.150
0.564 0.675 0.850
0.564 0.825 0.350
0.921 0.235 0.992
0.921 0.265 0.492
```



Q | Compound: CePdS2
Source: Alexandria via LeMat-Bulk
Functional: PBE
Structure: optimized geometry

Geometry as POSCAR:
```
CePdS2
1.0
7.082 0.000 0.000
0.000 3.871 0.000
0.000 0.000 12.115
Ce Pd S
4 4 8
Direct
0.127 0.250 0.146
0.373 0.750 0.646
0.627 0.250 0.354
0.873 0.750 0.854
0.231 0.750 0.379
0.269 0.250 0.879
0.731 0.750 0.121
0.769 0.250 0.621
0.068 0.250 0.719
0.202 0.750 0.986
0.298 0.250 0.486
0.432 0.750 0.219
0.568 0.250 0.781
0.702 0.750 0.514
0.798 0.250 0.014
0.932 0.750 0.281
```



P ends up most stable, edging out the next structure by 0.047 eV/atom.



P | Compound: Ce2SbPd
Source: Alexandria via LeMat-Bulk
Functional: PBE
Structure: optimized geometry

Geometry as POSCAR:
```
Ce2SbPd
1.0
3.572 0.000 0.000
-1.786 3.094 0.000
0.000 0.000 31.199
Ce Sb Pd
6 3 3
Direct
0.000 0.000 0.101
0.000 0.000 0.899
0.333 0.667 0.565
0.333 0.667 0.768
0.667 0.333 0.232
0.667 0.333 0.435
0.000 0.000 0.000
0.333 0.667 0.667
0.667 0.333 0.333
0.000 0.000 0.500
0.333 0.667 0.167
0.667 0.333 0.833
```



Q | Compound: Ce2SbPd
Source: Alexandria via LeMat-Bulk
Functional: PBE
Structure: optimized geometry

Geometry as POSCAR:
```
Ce2SbPd
1.0
5.070 0.000 0.000
0.000 5.070 0.000
0.000 0.000 3.996
Ce Sb Pd
2 1 1
Direct
0.000 0.500 0.000
0.500 0.000 0.000
0.000 0.000 0.500
0.500 0.500 0.500
```



Q ends up most stable, edging out the next structure by 0.542 eV/atom.



P | Compound: Ce2SbPd2
Source: Alexandria via LeMat-Bulk
Functional: PBE
Structure: optimized geometry

Geometry as POSCAR:
```
Ce2SbPd2
1.0
4.921 0.000 0.000
-2.461 4.262 0.000
0.000 0.000 15.616
Ce Sb Pd
6 3 6
Direct
0.000 0.000 0.214
0.000 0.000 0.786
0.333 0.667 0.453
0.333 0.667 0.880
0.667 0.333 0.120
0.667 0.333 0.547
0.000 0.000 0.000
0.333 0.667 0.667
0.667 0.333 0.333
0.000 0.000 0.410
0.000 0.000 0.590
0.333 0.667 0.077
0.333 0.667 0.257
0.667 0.333 0.743
0.667 0.333 0.923
```



Q | Compound: Ce2SbPd2
Source: Alexandria via LeMat-Bulk
Functional: PBE
Structure: optimized geometry

Geometry as POSCAR:
```
Ce2SbPd2
1.0
7.630 0.000 0.000
0.000 7.630 0.000
0.000 0.000 3.986
Ce Sb Pd
4 2 4
Direct
0.179 0.321 0.000
0.321 0.821 0.000
0.679 0.179 0.000
0.821 0.679 0.000
0.000 0.000 0.500
0.500 0.500 0.500
0.127 0.627 0.500
0.373 0.127 0.500
0.627 0.873 0.500
0.873 0.373 0.500
```



Q ends up most stable, edging out the next structure by 0.111 eV/atom.



P | Compound: CeSb3Pd
Source: Alexandria via LeMat-Bulk
Functional: PBE
Structure: optimized geometry

Geometry as POSCAR:
```
CeSb3Pd
1.0
12.837 0.000 0.000
0.000 6.274 0.000
0.000 0.000 6.185
Ce Sb Pd
4 12 4
Direct
0.191 0.002 0.250
0.191 0.498 0.750
0.809 0.502 0.250
0.809 0.998 0.750
0.002 0.750 0.000
0.002 0.750 0.500
0.259 0.502 0.250
0.259 0.998 0.750
0.435 0.115 0.250
0.435 0.385 0.750
0.565 0.615 0.250
0.565 0.885 0.750
0.741 0.002 0.250
0.741 0.498 0.750
0.998 0.250 0.000
0.998 0.250 0.500
0.403 0.750 0.000
0.403 0.750 0.500
0.597 0.250 0.000
0.597 0.250 0.500
```



Q | Compound: CeSb3Pd
Source: Alexandria via LeMat-Bulk
Functional: PBE
Structure: optimized geometry

Geometry as POSCAR:
```
CeSb3Pd
1.0
5.454 0.000 0.000
0.000 5.454 0.000
0.000 0.000 9.057
Ce Sb Pd
2 6 2
Direct
0.250 0.250 0.236
0.750 0.750 0.764
0.250 0.250 0.617
0.250 0.750 0.000
0.250 0.750 0.500
0.750 0.250 0.000
0.750 0.250 0.500
0.750 0.750 0.383
0.250 0.250 0.908
0.750 0.750 0.092
```



P ends up most stable, edging out the next structure by 0.283 eV/atom.



P | Compound: CeSb2Pd6
Source: Alexandria via LeMat-Bulk
Functional: PBE
Structure: optimized geometry

Geometry as POSCAR:
```
CeSb2Pd6
1.0
5.612 0.000 0.000
-2.806 4.860 0.000
0.000 0.000 7.063
Ce Sb Pd
1 2 6
Direct
0.000 0.000 0.000
0.333 0.667 0.500
0.667 0.333 0.500
0.000 0.499 0.805
0.000 0.501 0.195
0.499 0.000 0.805
0.499 0.499 0.195
0.501 0.000 0.195
0.501 0.501 0.805
```



Q | Compound: CeSb2Pd6
Source: Alexandria via LeMat-Bulk
Functional: PBE
Structure: optimized geometry

Geometry as POSCAR:
```
CeSb2Pd6
1.0
4.703 -3.437 0.000
4.703 3.437 0.000
-1.050 0.000 5.373
Ce Sb Pd
1 2 6
Direct
0.000 0.000 0.000
0.394 0.394 0.198
0.606 0.606 0.802
0.083 0.492 0.764
0.197 0.803 0.500
0.492 0.083 0.764
0.508 0.917 0.236
0.803 0.197 0.500
0.917 0.508 0.236
```



Q ends up most stable, edging out the next structure by 0.043 eV/atom.



P | Compound: CeSb2Pd4
Source: Alexandria via LeMat-Bulk
Functional: PBE
Structure: optimized geometry

Geometry as POSCAR:
```
CeSb2Pd4
1.0
7.963 0.000 0.000
0.000 7.963 0.000
0.000 0.000 4.383
Ce Sb Pd
2 4 8
Direct
0.000 0.000 0.000
0.500 0.500 0.500
0.217 0.217 0.500
0.283 0.717 0.000
0.717 0.283 0.000
0.783 0.783 0.500
0.098 0.646 0.500
0.146 0.402 0.000
0.354 0.902 0.500
0.402 0.146 0.000
0.598 0.854 0.000
0.646 0.098 0.500
0.854 0.598 0.000
0.902 0.354 0.500
```



Q | Compound: CeSb2Pd4
Source: Alexandria via LeMat-Bulk
Functional: PBE
Structure: optimized geometry

Geometry as POSCAR:
```
CeSb2Pd4
1.0
17.200 0.000 0.000
0.000 4.597 0.000
0.000 0.000 7.195
Ce Sb Pd
4 8 16
Direct
0.143 0.250 0.032
0.357 0.750 0.532
0.643 0.250 0.468
0.857 0.750 0.968
0.033 0.750 0.252
0.208 0.250 0.571
0.292 0.750 0.071
0.467 0.250 0.752
0.533 0.750 0.248
0.708 0.250 0.929
0.792 0.750 0.429
0.967 0.250 0.748
0.036 0.750 0.880
0.062 0.250 0.451
0.185 0.750 0.358
0.204 0.750 0.771
0.296 0.250 0.271
0.315 0.250 0.858
0.438 0.750 0.951
0.464 0.250 0.380
0.536 0.750 0.620
0.562 0.250 0.049
0.685 0.750 0.142
0.704 0.750 0.729
0.796 0.250 0.229
0.815 0.250 0.642
0.938 0.750 0.549
0.964 0.250 0.120
```



P ends up most stable, edging out the next structure by 0.044 eV/atom.



P | Compound: Ce2ScPd
Source: Alexandria via LeMat-Bulk
Functional: PBE
Structure: optimized geometry

Geometry as POSCAR:
```
Ce2ScPd
1.0
3.083 0.000 0.000
-1.542 2.670 0.000
0.000 0.000 32.723
Ce Sc Pd
6 3 3
Direct
0.000 0.000 0.091
0.000 0.000 0.909
0.333 0.667 0.576
0.333 0.667 0.757
0.667 0.333 0.243
0.667 0.333 0.424
0.000 0.000 0.000
0.333 0.667 0.667
0.667 0.333 0.333
0.000 0.000 0.500
0.333 0.667 0.167
0.667 0.333 0.833
```



Q | Compound: Ce2ScPd
Source: Alexandria via LeMat-Bulk
Functional: PBE
Structure: optimized geometry

Geometry as POSCAR:
```
Ce2ScPd
1.0
3.753 0.000 0.000
0.000 3.753 0.000
0.000 0.000 7.150
Ce Sc Pd
2 1 1
Direct
0.000 0.000 0.212
0.000 0.000 0.788
0.500 0.500 0.500
0.500 0.500 0.000
```



Q ends up most stable, edging out the next structure by 0.174 eV/atom.



P | Compound: CeScPd
Source: Alexandria via LeMat-Bulk
Functional: PBE
Structure: optimized geometry

Geometry as POSCAR:
```
CeScPd
1.0
4.720 0.000 0.000
-2.360 4.087 0.000
0.000 0.000 3.587
Ce Sc Pd
1 1 1
Direct
0.000 0.000 0.000
0.667 0.333 0.532
0.333 0.667 0.418
```



Q | Compound: CeScPd
Source: Alexandria via LeMat-Bulk
Functional: PBE
Structure: optimized geometry

Geometry as POSCAR:
```
CeScPd
1.0
6.739 0.000 0.000
0.000 4.761 0.000
-0.260 0.000 13.038
Ce Sc Pd
6 6 6
Direct
0.028 0.250 0.368
0.080 0.250 0.063
0.435 0.250 0.293
0.565 0.750 0.707
0.920 0.750 0.937
0.972 0.750 0.632
0.191 0.250 0.776
0.350 0.750 0.459
0.448 0.750 0.077
0.552 0.250 0.923
0.650 0.250 0.541
0.809 0.750 0.224
0.196 0.750 0.230
0.254 0.250 0.562
0.322 0.750 0.879
0.678 0.250 0.121
0.746 0.750 0.438
0.804 0.250 0.770
```



Q ends up most stable, edging out the next structure by 0.184 eV/atom.



P | Compound: CePdSe3
Source: Alexandria via LeMat-Bulk
Functional: PBE
Structure: optimized geometry

Geometry as POSCAR:
```
CePdSe3
1.0
7.833 0.000 0.000
0.000 6.050 0.000
-1.884 0.000 9.840
Ce Pd Se
4 4 12
Direct
0.176 0.232 0.162
0.176 0.268 0.662
0.824 0.732 0.338
0.824 0.768 0.838
0.395 0.740 0.584
0.395 0.760 0.084
0.605 0.240 0.916
0.605 0.260 0.416
0.073 0.727 0.116
0.073 0.773 0.616
0.305 0.089 0.928
0.305 0.411 0.428
0.443 0.589 0.834
0.443 0.911 0.334
0.557 0.089 0.666
0.557 0.411 0.166
0.695 0.589 0.572
0.695 0.911 0.072
0.927 0.227 0.384
0.927 0.273 0.884
```



Q | Compound: CePdSe3
Source: Alexandria via LeMat-Bulk
Functional: PBE
Structure: optimized geometry

Geometry as POSCAR:
```
CePdSe3
1.0
11.653 0.000 0.000
0.000 4.063 0.000
0.000 0.000 9.698
Ce Pd Se
4 4 12
Direct
0.181 0.250 0.039
0.319 0.750 0.539
0.681 0.250 0.461
0.819 0.750 0.961
0.033 0.750 0.675
0.467 0.250 0.175
0.533 0.750 0.825
0.967 0.250 0.325
0.032 0.750 0.159
0.124 0.250 0.527
0.210 0.750 0.822
0.290 0.250 0.322
0.376 0.750 0.027
0.468 0.250 0.659
0.532 0.750 0.341
0.624 0.250 0.973
0.710 0.750 0.678
0.790 0.250 0.178
0.876 0.750 0.473
0.968 0.250 0.841
```



Q ends up most stable, edging out the next structure by 0.022 eV/atom.



P | Compound: Ce2PdSe
Source: Alexandria via LeMat-Bulk
Functional: PBE
Structure: optimized geometry

Geometry as POSCAR:
```
Ce2PdSe
1.0
4.080 0.000 0.000
-2.040 3.533 0.000
0.000 0.000 21.878
Ce Pd Se
6 3 3
Direct
0.000 0.000 0.247
0.000 0.000 0.753
0.333 0.667 0.419
0.333 0.667 0.914
0.667 0.333 0.086
0.667 0.333 0.581
0.000 0.000 0.500
0.333 0.667 0.167
0.667 0.333 0.833
0.000 0.000 0.000
0.333 0.667 0.667
0.667 0.333 0.333
```



Q | Compound: Ce2PdSe
Source: Alexandria via LeMat-Bulk
Functional: PBE
Structure: optimized geometry

Geometry as POSCAR:
```
Ce2PdSe
1.0
4.048 0.000 0.000
-2.024 3.506 0.000
0.000 0.000 22.683
Ce Pd Se
6 3 3
Direct
0.000 0.000 0.000
0.000 0.000 0.177
0.333 0.667 0.667
0.333 0.667 0.844
0.667 0.333 0.333
0.667 0.333 0.511
0.000 0.000 0.588
0.333 0.667 0.254
0.667 0.333 0.921
0.000 0.000 0.756
0.333 0.667 0.423
0.667 0.333 0.089
```



P ends up most stable, edging out the next structure by 0.071 eV/atom.